The following is a PBE-GGA calculation of crystalline LiSiRu at its relaxed geometry, from the Alexandria database.

Geometry as POSCAR:
```
LiSiRu
1.0
2.9197 0.0000 0.0000
0.0000 6.6165 0.0000
0.0000 -3.3083 5.7301
Si Li Ru
3 3 3
Cartesian
1.4599 3.3083 1.9100
1.4599 0.0000 3.8200
0.0000 0.0000 0.0000
1.4599 1.9200 0.0000
1.4599 -0.9600 1.6628
1.4599 2.3482 4.0673
0.0000 4.1834 0.0000
0.0000 -2.0917 3.6229
0.0000 1.2166 2.1072
```

Results
Crystal system: hexagonal
Calculated total energy (eV/atom): -5.9428
E_form (uncorrected) (kJ/mol of atoms): -39
Magnetic moment (μB per atom): 0.000